No. 1
Here is crystalline La6ScS8 at its relaxed geometry from the Alexandria database. Energies are from PBE-GGA.

Properties
The space group is R-3.

Unit cell a=7.6721 b=7.6721 c=7.6721 alpha=67.33 beta=67.33 gamma=67.33
Last column: nearest neighbours and their distance in Å.
Element x y z (fractional)
La (0.0295, 0.4209, 0.7987)  7 S 2.86-3.17
La (0.2013, 0.9705, 0.5791)  7 S 2.86-3.17
La (0.4209, 0.7987, 0.0295)  7 S 2.86-3.17
La (0.5791, 0.2013, 0.9705)  7 S 2.86-3.17
La (0.7987, 0.0295, 0.4209)  7 S 2.86-3.17
La (0.9705, 0.5791, 0.2013)  7 S 2.86-3.17
Sc (0.5000, 0.5000, 0.5000)  6 S 2.67
S (0.1594, 0.6778, 0.4080)  1 Sc 2.67, 3 La 2.86-2.95
S (0.1709, 0.1709, 0.1709)  6 La 2.97-3.09
S (0.3222, 0.5920, 0.8406)  1 Sc 2.67, 3 La 2.86-2.95
S (0.4080, 0.1594, 0.6778)  1 Sc 2.67, 3 La 2.86-2.95
S (0.5920, 0.8406, 0.3222)  1 Sc 2.67, 3 La 2.86-2.95
S (0.6778, 0.4080, 0.1594)  1 Sc 2.67, 3 La 2.86-2.95
S (0.8291, 0.8291, 0.8291)  6 La 2.97-3.09
S (0.8406, 0.3222, 0.5920)  1 Sc 2.67, 3 La 2.86-2.95


No. 2
Here is crystalline LaSc5S8 at its relaxed geometry from the Alexandria database. Energies are from PBE-GGA.

Properties
The space group is F-43m.

Unit cell a=7.7541 b=7.7541 c=7.7541 alpha=60.00 beta=60.00 gamma=60.00
Last column: nearest neighbours and their distance in Å.
Element x y z (fractional)
La (0.0000, 0.0000, 0.0000)  4 S 2.69
Sc (0.3775, 0.3775, 0.3775)  6 S 2.60-2.65
Sc (0.3775, 0.3775, 0.8674)  6 S 2.60-2.65
Sc (0.3775, 0.8674, 0.3775)  6 S 2.60-2.65
Sc (0.7500, 0.7500, 0.7500)  4 S 2.49
Sc (0.8674, 0.3775, 0.3775)  6 S 2.60-2.65
S (0.1417, 0.1417, 0.1417)  3 Sc 2.60, 1 La 2.69
S (0.1417, 0.1417, 0.5749)  3 Sc 2.60, 1 La 2.69
S (0.1417, 0.5749, 0.1417)  3 Sc 2.60, 1 La 2.69
S (0.1436, 0.6188, 0.6188)  4 Sc 2.49-2.65
S (0.5749, 0.1417, 0.1417)  3 Sc 2.60, 1 La 2.69
S (0.6188, 0.1436, 0.6188)  4 Sc 2.49-2.65
S (0.6188, 0.6188, 0.1436)  4 Sc 2.49-2.65
S (0.6188, 0.6188, 0.6188)  4 Sc 2.49-2.65


No. 3
Here is crystalline LaSc2S at its relaxed geometry from the Alexandria database. Energies are from PBE-GGA.

Properties
The space group is R-3m.

Unit cell a=10.4854 b=10.4854 c=10.4854 alpha=19.86 beta=19.86 gamma=19.86
Last column: nearest neighbours and their distance in Å.
Element x y z (fractional)
La (0.0000, 0.0000, 0.0000)  6 Sc 3.50, 6 La 3.62
Sc (0.4245, 0.4245, 0.4245)  1 S 2.33
Sc (0.5755, 0.5755, 0.5755)  1 S 2.33
S (0.5000, 0.5000, 0.5000)  2 Sc 2.33


No. 4
Here is crystalline LaSc2S3 at its relaxed geometry from the Alexandria database. Energies are from PBE-GGA.

Properties
The space group is Cmcm.

Unit cell a=7.5243 b=7.5243 c=5.7507 alpha=90.00 beta=90.00 gamma=99.42
Last column: nearest neighbours and their distance in Å.
Element x y z (fractional)
La (0.1120, 0.8880, 0.7500)  6 S 2.95-3.27
La (0.8880, 0.1120, 0.2500)  6 S 2.95-3.27
Sc (0.3257, 0.3257, 0.0000)  4 S 2.48-2.51
Sc (0.3257, 0.3257, 0.5000)  4 S 2.48-2.51
Sc (0.6743, 0.6743, 0.0000)  4 S 2.48-2.51
Sc (0.6743, 0.6743, 0.5000)  4 S 2.48-2.51
S (0.0532, 0.2667, 0.7500)  2 Sc 2.48
S (0.2667, 0.0532, 0.2500)  2 Sc 2.48
S (0.3984, 0.6016, 0.2500)  4 Sc 2.51
S (0.6016, 0.3984, 0.7500)  4 Sc 2.51
S (0.7333, 0.9468, 0.7500)  2 Sc 2.48
S (0.9468, 0.7333, 0.2500)  2 Sc 2.48


No. 5
Here is crystalline LaSc2S4 at its relaxed geometry from the Alexandria database. Energies are from PBE-GGA.

Properties
The space group is Cmcm.

Unit cell a=6.4215 b=6.4215 c=12.7545 alpha=90.00 beta=90.00 gamma=145.42
Last column: nearest neighbours and their distance in Å.
Element x y z (fractional)
La (0.1182, 0.8818, 0.7500)  6 S 2.87-2.92
La (0.8818, 0.1182, 0.2500)  6 S 2.87-2.92
Sc (0.3708, 0.6292, 0.5622)  6 S 2.56-2.65
Sc (0.3708, 0.6292, 0.9378)  6 S 2.56-2.65
Sc (0.6292, 0.3708, 0.0622)  6 S 2.56-2.65
Sc (0.6292, 0.3708, 0.4378)  6 S 2.56-2.65
S (0.0000, 0.0000, 0.0000)  4 Sc 2.60
S (0.0000, 0.0000, 0.5000)  4 Sc 2.60
S (0.2685, 0.7315, 0.1149)  3 Sc 2.58-2.65
S (0.2685, 0.7315, 0.3851)  3 Sc 2.58-2.65
S (0.4437, 0.5563, 0.7500)  2 Sc 2.56
S (0.5563, 0.4437, 0.2500)  2 Sc 2.56
S (0.7315, 0.2685, 0.6149)  3 Sc 2.58-2.65
S (0.7315, 0.2685, 0.8851)  3 Sc 2.58-2.65


No. 6
Here is crystalline La2ScSeS at its relaxed geometry from the Alexandria database. Energies are from PBE-GGA.

Properties
The space group is P4/mmm.

Unit cell a=5.6965 b=5.6965 c=4.6369 alpha=90.00 beta=90.00 gamma=90.00
Last column: nearest neighbours and their distance in Å.
Element x y z (fractional)
La (0.0000, 0.5000, 0.0000)  2 Sc 2.85
La (0.5000, 0.0000, 0.0000)  2 Sc 2.85
Sc (0.0000, 0.0000, 0.0000)  2 S 2.32
Se (0.5000, 0.5000, 0.5000)  8 La 3.67, 4 S 4.03
S (0.0000, 0.0000, 0.5000)  2 Sc 2.32


No. 7
Here is crystalline La2SmScS4 at its relaxed geometry from the Alexandria database. Energies are from PBE-GGA.

Properties
The space group is P2/m.

Unit cell a=6.9279 b=3.9632 c=7.0145 alpha=90.00 beta=108.91 gamma=90.00
Last column: nearest neighbours and their distance in Å.
Element x y z (fractional)
La (0.0000, 0.0000, 0.0000)  6 S 2.98
La (0.5000, 0.5000, 0.0000)  6 S 2.88
Sm (0.0000, 0.5000, 0.5000)  6 S 2.80
Sc (0.5000, 0.0000, 0.5000)  6 S 2.69-2.70
S (0.2557, 0.0000, 0.7306)  1 Sc 2.69, 2 Sm 2.80, 3 La 2.88-2.98
S (0.2712, 0.5000, 0.2775)  2 Sc 2.70, 1 Sm 2.80, 3 La 2.88-2.98
S (0.7288, 0.5000, 0.7225)  2 Sc 2.70, 1 Sm 2.80, 3 La 2.88-2.98
S (0.7443, 0.0000, 0.2694)  1 Sc 2.69, 2 Sm 2.80, 3 La 2.88-2.98


No. 8
Here is crystalline LaTb2ScS4 at its relaxed geometry from the Alexandria database. Energies are from PBE-GGA.

Properties
The space group is P2/m.

Unit cell a=6.8083 b=3.9009 c=6.8837 alpha=90.00 beta=108.98 gamma=90.00
Last column: nearest neighbours and their distance in Å.
Element x y z (fractional)
La (0.0000, 0.0000, 0.0000)  6 S 2.85
Tb (0.5000, 0.0000, 0.5000)  6 S 2.72-2.73
Tb (0.5000, 0.5000, 0.0000)  6 S 2.85
Sc (0.0000, 0.5000, 0.5000)  6 S 2.72
S (0.2439, 0.0000, 0.7332)  2 Sc 2.72, 3 Tb 2.73-2.85, 1 La 2.85
S (0.2558, 0.5000, 0.2675)  3 Tb 2.72-2.85, 1 Sc 2.72, 2 La 2.85
S (0.7442, 0.5000, 0.7325)  3 Tb 2.72-2.85, 1 Sc 2.72, 2 La 2.85
S (0.7561, 0.0000, 0.2668)  2 Sc 2.72, 3 Tb 2.73-2.85, 1 La 2.85


No. 9
Here is crystalline LaTb2ScS6 at its relaxed geometry from the Alexandria database. Energies are from PBE-GGA.

Properties
The space group is R3.

Unit cell a=7.3336 b=7.3336 c=7.3336 alpha=56.46 beta=56.46 gamma=56.46
Last column: nearest neighbours and their distance in Å.
Element x y z (fractional)
La (0.0000, 0.0000, 0.0000)  6 S 2.82-2.96
Tb (0.2055, 0.2055, 0.2055)  6 S 2.70-2.80
Tb (0.7135, 0.7135, 0.7135)  6 S 2.74-2.80
Sc (0.5123, 0.5123, 0.5123)  6 S 2.62-2.64
S (0.1293, 0.4121, 0.7873)  1 Sc 2.62, 2 Tb 2.74-2.80
S (0.3315, 0.9022, 0.5863)  1 Sc 2.64, 2 Tb 2.70-2.80, 1 La 2.82
S (0.4121, 0.7873, 0.1293)  1 Sc 2.62, 2 Tb 2.74-2.80
S (0.5863, 0.3315, 0.9022)  1 Sc 2.64, 2 Tb 2.70-2.80, 1 La 2.82
S (0.7873, 0.1293, 0.4121)  1 Sc 2.62, 2 Tb 2.74-2.80
S (0.9022, 0.5863, 0.3315)  1 Sc 2.64, 2 Tb 2.70-2.80, 1 La 2.82


No. 10
Here is crystalline LaScTe2S at its relaxed geometry from the Alexandria database. Energies are from PBE-GGA.

Properties
The space group is P4/nmm.

Unit cell a=4.4163 b=4.4163 c=15.1744 alpha=90.00 beta=90.00 gamma=90.00
Last column: nearest neighbours and their distance in Å.
Element x y z (fractional)
La (0.2500, 0.2500, 0.1134)  4 S 2.80
La (0.7500, 0.7500, 0.8866)  4 S 2.80
Sc (0.2500, 0.2500, 0.6023)  2 Te 2.76-2.97
Sc (0.7500, 0.7500, 0.3977)  2 Te 2.76-2.97
Te (0.2500, 0.2500, 0.4068)  5 Sc 2.97-3.13
Te (0.2500, 0.2500, 0.7842)  1 Sc 2.76
Te (0.7500, 0.7500, 0.2158)  1 Sc 2.76
Te (0.7500, 0.7500, 0.5932)  5 Sc 2.97-3.13
S (0.2500, 0.7500, 0.0000)  4 La 2.80, 4 S 3.12
S (0.7500, 0.2500, 0.0000)  4 La 2.80, 4 S 3.12


No. 11
Here is crystalline LaTh2ScS4 at its relaxed geometry from the Alexandria database. Energies are from PBE-GGA.

Properties
The space group is P2/m.

Unit cell a=6.8588 b=3.9794 c=6.9929 alpha=90.00 beta=109.02 gamma=90.00
Last column: nearest neighbours and their distance in Å.
Element x y z (fractional)
La (0.0000, 0.0000, 0.0000)  6 S 2.84-2.85
Th (0.0000, 0.5000, 0.5000)  6 S 2.94
Th (0.5000, 0.0000, 0.5000)  6 S 2.81-2.82
Sc (0.5000, 0.5000, 0.0000)  6 S 2.69-2.72
S (0.2641, 0.5000, 0.2418)  1 Sc 2.69, 3 Th 2.82-2.94, 2 La 2.85
S (0.2713, 0.0000, 0.7680)  2 Sc 2.72, 3 Th 2.81-2.94, 1 La 2.84
S (0.7287, 0.0000, 0.2320)  2 Sc 2.72, 3 Th 2.81-2.94, 1 La 2.84
S (0.7359, 0.5000, 0.7582)  1 Sc 2.69, 3 Th 2.82-2.94, 2 La 2.85


No. 12
Here is crystalline La2ScTiS6 at its relaxed geometry from the Alexandria database. Energies are from PBE-GGA.

Properties
The space group is P2_1/c.

Unit cell a=6.4889 b=7.1552 c=11.4484 alpha=90.00 beta=123.87 gamma=90.00
Last column: nearest neighbours and their distance in Å.
Element x y z (fractional)
La (0.2130, 0.0969, 0.2492)  6 S 2.87-3.03
La (0.2130, 0.4031, 0.7492)  6 S 2.87-3.03
La (0.7870, 0.5969, 0.2508)  6 S 2.87-3.03
La (0.7870, 0.9031, 0.7508)  6 S 2.87-3.03
Sc (0.5000, 0.0000, 0.0000)  6 S 2.53-2.60
Sc (0.5000, 0.5000, 0.5000)  6 S 2.53-2.60
Ti (0.0000, 0.0000, 0.5000)  6 S 2.44-2.52
Ti (0.0000, 0.5000, 0.0000)  6 S 2.44-2.52
S (0.1231, 0.1944, 0.9458)  1 Ti 2.52, 1 Sc 2.57
S (0.1231, 0.3056, 0.4458)  1 Ti 2.52, 1 Sc 2.57
S (0.2605, 0.6868, 0.9460)  1 Ti 2.49, 1 Sc 2.60
S (0.2605, 0.8132, 0.4460)  1 Ti 2.49, 1 Sc 2.60
S (0.3541, 0.0239, 0.7444)  1 Ti 2.44, 1 Sc 2.53
S (0.3541, 0.4761, 0.2444)  1 Ti 2.44, 1 Sc 2.53
S (0.6459, 0.5239, 0.7556)  1 Ti 2.44, 1 Sc 2.53
S (0.6459, 0.9761, 0.2556)  1 Ti 2.44, 1 Sc 2.53
S (0.7395, 0.1868, 0.5540)  1 Ti 2.49, 1 Sc 2.60
S (0.7395, 0.3132, 0.0540)  1 Ti 2.49, 1 Sc 2.60
S (0.8769, 0.6944, 0.5542)  1 Ti 2.52, 1 Sc 2.57
S (0.8769, 0.8056, 0.0542)  1 Ti 2.52, 1 Sc 2.57


Ordered N(E_F) results: 0.51 0.68 1.09 0.55 0.29 0.86 0.62 0.64 0.00 0.35 0.62 0.42; unit states/eV per atom.
Ordered magnetization results: 0.0 0.0 0.0 0.0 0.0 0.0 0.0 0.0 0.0 0.0 0.0 2.0; unit μB/cell.
Ordered raw formation energy results: -2025.2 -1824.9 -248.1 -1406.9 -2037.7 -547.9 -2025.8 -1967.3 -2013.3 -1463.2 -1869.3 -1919.3; unit meV/atom.